Entry 1:
Material: Pm3Si2Rh4
Method: DFT, PBE
State: optimized geometry

The structure in CIF format:
```
data_Pm3Si2Rh4
_space_group_name_H-M_alt 'C 1 2/m 1'
_space_group_IT_number 12
_space_group_name_Hall '-C 2y'
_cell_length_a 10.7316
_cell_length_b 4.1287
_cell_length_c 8.7848
_cell_angle_alpha 90.00
_cell_angle_beta 111.17
_cell_angle_gamma 90.00
loop_
_atom_site_label
_atom_site_fract_x
_atom_site_fract_y
_atom_site_fract_z
_atom_site_occupancy
Pm1 0.0000 0.0000 0.0000 1
Pm2 0.1262 0.5000 0.6940 1
Si1 0.1582 0.5000 0.3082 1
Rh1 0.1438 0.0000 0.4358 1
Rh2 0.2171 0.5000 0.0724 1
```

Computed properties:
**Formation energy (no corrections)**: -0.88 eV/atom
**Energy**: -124.86 eV for the cell shown
**M_tot**: 0.000 μB/f.u.


Entry 2:
Material: Pm2Si3Rh
Method: DFT, PBE
State: optimized geometry

The structure in CIF format:
```
data_Pm2Si3Rh
_space_group_name_H-M_alt 'F m m m'
_space_group_IT_number 69
_space_group_name_Hall '-F 2 2'
_cell_length_a 8.2483
_cell_length_b 8.3406
_cell_length_c 14.2463
_cell_angle_alpha 90.00
_cell_angle_beta 90.00
_cell_angle_gamma 90.00
loop_
_atom_site_label
_atom_site_fract_x
_atom_site_fract_y
_atom_site_fract_z
_atom_site_occupancy
Pm1 0.0000 0.2497 0.0000 1
Pm2 0.2500 0.2500 0.2500 1
Si1 0.0000 0.0000 0.1664 1
Si2 0.2503 0.0000 0.0836 1
Rh1 0.0000 0.0000 0.3332 1
```

Computed properties:
**Formation energy (no corrections)**: -0.91 eV/atom
**Energy**: -308.76 eV for the cell shown
**M_tot**: 0.000 μB/f.u.


Entry 3:
Material: Pm8SiRh2
Method: DFT, PBE
State: optimized geometry

The structure in CIF format:
```
data_Pm8SiRh2
_space_group_name_H-M_alt 'C 1 2/m 1'
_space_group_IT_number 12
_space_group_name_Hall '-C 2y'
_cell_length_a 18.5599
_cell_length_b 5.1654
_cell_length_c 6.8709
_cell_angle_alpha 90.00
_cell_angle_beta 111.44
_cell_angle_gamma 90.00
loop_
_atom_site_label
_atom_site_fract_x
_atom_site_fract_y
_atom_site_fract_z
_atom_site_occupancy
Pm1 0.0296 0.0000 0.2658 1
Pm2 0.0950 0.5000 0.7206 1
Pm3 0.1779 0.5000 0.3487 1
Pm4 0.1999 0.0000 0.0560 1
Si1 0.0000 0.5000 0.0000 1
Rh1 0.1632 0.0000 0.6129 1
```

Computed properties:
**Formation energy (no corrections)**: -0.38 eV/atom
**Energy**: -124.73 eV for the cell shown
**M_tot**: 0.000 μB/f.u.


Entry 4:
Material: Pm4SiRh
Method: DFT, PBE
State: optimized geometry

The structure in CIF format:
```
data_Pm4SiRh
_space_group_name_H-M_alt 'P 1 21/c 1'
_space_group_IT_number 14
_space_group_name_Hall '-P 2ybc'
_cell_length_a 7.1959
_cell_length_b 7.0652
_cell_length_c 7.0304
_cell_angle_alpha 90.00
_cell_angle_beta 90.86
_cell_angle_gamma 90.00
loop_
_atom_site_label
_atom_site_fract_x
_atom_site_fract_y
_atom_site_fract_z
_atom_site_occupancy
Pm1 0.1556 0.1632 0.1659 1
Pm2 0.3275 0.6632 0.1576 1
Si1 0.5000 0.0000 0.0000 1
Rh1 0.0000 0.0000 0.5000 1
```

Computed properties:
**Formation energy (no corrections)**: -0.42 eV/atom
**Energy**: -68.56 eV for the cell shown
**M_tot**: 0.000 μB/f.u.


Entry 5:
Material: Pm3SiRh3
Method: DFT, PBE
State: optimized geometry

The structure in CIF format:
```
data_Pm3SiRh3
_space_group_name_H-M_alt 'C 1 2/m 1'
_space_group_IT_number 12
_space_group_name_Hall '-C 2y'
_cell_length_a 10.6606
_cell_length_b 4.0432
_cell_length_c 14.8592
_cell_angle_alpha 90.00
_cell_angle_beta 109.31
_cell_angle_gamma 90.00
loop_
_atom_site_label
_atom_site_fract_x
_atom_site_fract_y
_atom_site_fract_z
_atom_site_occupancy
Pm1 0.0163 0.0000 0.3811 1
Pm2 0.1059 0.0000 0.9259 1
Pm3 0.2398 0.0000 0.2231 1
Si1 0.2330 0.5000 0.3887 1
Rh1 0.0394 0.5000 0.2399 1
Rh2 0.1222 0.5000 0.0761 1
Rh3 0.1708 0.5000 0.5349 1
```

Computed properties:
**Formation energy (no corrections)**: -0.82 eV/atom
**Energy**: -189.92 eV for the cell shown
**Energy above the most stable polymorph in this dataset**: 0 meV per atom
**M_tot**: 0.000 μB/f.u.


Entry 6:
Material: Pm4SiRh4
Method: DFT, PBE
State: optimized geometry

The structure in CIF format:
```
data_Pm4SiRh4
_space_group_name_H-M_alt 'P 42/n'
_space_group_IT_number 86
_cell_length_a 8.4830
_cell_length_b 8.4830
_cell_length_c 5.6627
_cell_angle_alpha 90.00
_cell_angle_beta 90.00
_cell_angle_gamma 90.00
loop_
_space_group_symop_operation_xyz
'x,y,z'
'-x,-y,-z'
'-y,x+1/2,z+1/2'
'y,-x+1/2,-z+1/2'
'-x+1/2,-y+1/2,z'
'x+1/2,y+1/2,-z'
'y+1/2,-x,z+1/2'
'-y+1/2,x,-z+1/2'
loop_
_atom_site_label
_atom_site_fract_x
_atom_site_fract_y
_atom_site_fract_z
_atom_site_occupancy
Pm1 0.0354 0.8121 0.1089 1
Si1 0.2500 0.2500 0.2500 1
Rh1 0.0190 0.1458 0.3950 1
```

Computed properties:
**Formation energy (no corrections)**: -0.73 eV/atom
**Energy**: -120.75 eV for the cell shown
**M_tot**: 0.000 μB/f.u.